First-principles (PBE-GGA) data for NdHo2IrO8 after structural relaxation, as listed in Alexandria via LeMat-Bulk.

Output
- E_form (uncorrected): -27.95 eV per formula unit
- Total energy: -7.53 eV/atom
- Space-group type: P2/m

a b c (Å): 5.067 5.056 6.871
angles (deg): 90.00 90.00 89.73
Site moments in Bohr magnetons follow the coordinates.
Fractional coordinates of all 12 atoms:
Ir1 0.000 0.000 0.000  0.91
O1 0.186 0.812 0.796  0.12
O2 0.682 0.685 0.500  0.01
O3 0.186 0.812 0.204  0.12
O4 0.814 0.188 0.796  0.12
O5 0.731 0.734 0.000  0.06
O6 0.318 0.315 0.500  0.01
O7 0.814 0.188 0.204  0.12
O8 0.269 0.266 0.000  0.06
Ho1 0.500 0.500 0.251  0.04
Ho2 0.500 0.500 0.749  0.04
Nd1 0.000 0.000 0.500  0.01


First-principles (PBE-GGA) data for NdHoIrPt after structural relaxation, as listed in Alexandria via LeMat-Bulk.

Output
- Total energy: -6.97 eV/atom
- Space-group type: F-43m

a b c (Å): 4.969 4.969 4.969
angles (deg): 60.00 60.00 60.00
Fractional coordinates of all 4 atoms:
Pt1 0.250 0.250 0.250
Nd1 0.500 0.500 0.500
Ho1 0.000 0.000 0.000
Ir1 0.750 0.750 0.750